The following is a PBE calculation of a relaxed ZnInPd6 crystal, from the Alexandria database.

Energy of formation from the pure elements: -0.36 eV per atom
Space-group type: P4/mmm (123)
Energy above the most stable polymorph in this dataset: 0 meV/atom
Calculated total energy: -38.061 eV/cell

Lattice parameters (Å, degrees): 5.6346 5.6346 3.9598 90.00 90.00 90.00
Last column: nearest neighbours and their distance in Å.
Positions (direct):
Zn (0.0000, 0.0000, 0.0000)  12 Pd 2.78-2.82
In (0.5000, 0.5000, 0.0000)  12 Pd 2.82-2.84
Pd (0.0000, 0.5000, 0.0000)  8 Pd 2.81, 2 In 2.82, 2 Zn 2.82
Pd (0.2450, 0.2450, 0.5000)  8 Pd 2.76-2.87, 2 Zn 2.78, 2 In 2.84
Pd (0.2450, 0.7550, 0.5000)  8 Pd 2.76-2.87, 2 Zn 2.78, 2 In 2.84
Pd (0.5000, 0.0000, 0.0000)  8 Pd 2.81, 2 In 2.82, 2 Zn 2.82
Pd (0.7550, 0.2450, 0.5000)  8 Pd 2.76-2.87, 2 Zn 2.78, 2 In 2.84
Pd (0.7550, 0.7550, 0.5000)  8 Pd 2.76-2.87, 2 Zn 2.78, 2 In 2.84

---

The following is a PBE calculation of a relaxed TiRe2B crystal, from the Alexandria database.

Energy of formation from the pure elements: -0.02 eV per atom
Space-group type: Cmcm (63)
Calculated total energy: -79.069 eV/cell

Lattice parameters (Å, degrees): 9.0360 9.0360 4.1140 90.00 90.00 160.84
Last column: nearest neighbours and their distance in Å.
Positions (direct):
Ti (0.1152, 0.8848, 0.7500)  4 B 2.68, 6 Re 2.78-2.90
Ti (0.8848, 0.1152, 0.2500)  4 B 2.68, 6 Re 2.78-2.90
Re (0.2537, 0.7463, 0.2500)  2 B 2.23
Re (0.4624, 0.5376, 0.7500)  1 B 2.20, 2 Re 2.46
Re (0.5376, 0.4624, 0.2500)  1 B 2.20, 2 Re 2.46
Re (0.7463, 0.2537, 0.7500)  2 B 2.23
B (0.3389, 0.6611, 0.7500)  3 Re 2.20-2.23
B (0.6611, 0.3389, 0.2500)  3 Re 2.20-2.23

---

The following is a PBE calculation of a relaxed Y2ScCuRh crystal, from the Alexandria database.

Energy of formation from the pure elements: 0.21 eV per atom
Space-group type: P4/mmm (123)
Calculated total energy: -29.651 eV/cell

Lattice parameters (Å, degrees): 5.1625 5.1625 4.6987 90.00 90.00 90.00
Last column: nearest neighbours and their distance in Å.
Positions (direct):
Y (0.0000, 0.5000, 0.0000)  2 Cu 2.58
Y (0.5000, 0.0000, 0.0000)  2 Cu 2.58
Sc (0.0000, 0.0000, 0.5000)  8 Y 3.49, 4 Rh 3.65
Cu (0.5000, 0.5000, 0.0000)  2 Rh 2.35, 4 Y 2.58
Rh (0.5000, 0.5000, 0.5000)  2 Cu 2.35

---

The following is a PBE calculation of a relaxed Nd2HO3 crystal, from the Alexandria database.

Space-group type: P1 (1)
Calculated total energy: -175.690 eV/cell

Lattice parameters (Å, degrees): 3.8229 9.4993 9.7091 86.57 85.72 88.44
Last column: nearest neighbours and their distance in Å.
Positions (direct):
Nd (0.0000, 0.0000, 0.0000)  5 O 2.27-2.54, 2 H 2.31-2.44
Nd (0.0048, 0.3770, 0.8794)  5 O 2.31-2.50, 1 H 2.46
Nd (0.0396, 0.1635, 0.5681)  5 O 2.31-2.41
Nd (0.4388, 0.2659, 0.2126)  4 O 2.26-2.47, 1 H 2.41
Nd (0.4436, 0.6647, 0.0596)  2 H 2.28-2.35, 5 O 2.36-2.51
Nd (0.5095, 0.5032, 0.5258)  6 O 2.36-2.50
Nd (0.6642, 0.8856, 0.3615)  4 O 2.21-2.42
Nd (0.9219, 0.7543, 0.7208)  3 O 2.25-2.36, 1 H 2.33
H (0.1276, 0.5884, 0.3156)  1 O 0.99
H (0.4932, 0.0274, 0.1412)  4 Nd 2.31-2.58, 1 O 2.54
H (0.5081, 0.9770, 0.7202)  1 O 1.00
H (0.9598, 0.6266, 0.9323)  4 Nd 2.28-2.46
O (0.0393, 0.1463, 0.8066)  3 Nd 2.27-2.34, 1 H 2.51
O (0.1208, 0.0221, 0.3698)  3 Nd 2.21-2.42
O (0.3208, 0.5239, 0.2840)  1 H 0.99
O (0.4453, 0.6188, 0.7350)  3 Nd 2.25-2.36
O (0.4795, 0.4266, 0.0026)  4 Nd 2.31-2.47
O (0.5134, 0.8720, 0.9040)  1 H 1.99
O (0.5556, 0.2654, 0.4502)  4 Nd 2.38-2.41
O (0.5682, 0.9673, 0.6196)  1 H 1.00
O (0.9152, 0.7802, 0.1593)  4 Nd 2.38-2.54, 1 H 2.46
O (0.9387, 0.6964, 0.4879)  1 H 2.09
O (0.9625, 0.2216, 0.0970)  4 Nd 2.26-2.50
O (0.9964, 0.4010, 0.6332)  4 Nd 2.36-2.39

---

The following is a PBE calculation of a relaxed NaPaBr2 crystal, from the Alexandria database.

Uncorrected formation energy: -0.739 eV per atom
Space-group type: R-3m (166)
Calculated total energy: -17.115 eV/cell

Lattice parameters (Å, degrees): 9.7914 9.7914 9.7914 21.93 21.93 21.93
Last column: nearest neighbours and their distance in Å.
Positions (direct):
Na (0.0000, 0.0000, 0.0000)  6 Br 2.87
Pa (0.5000, 0.5000, 0.5000)  2 Br 2.87
Br (0.3999, 0.3999, 0.3999)  1 Pa 2.87, 3 Na 2.87
Br (0.6001, 0.6001, 0.6001)  1 Pa 2.87, 3 Na 2.87

---

The following is a PBE calculation of a relaxed Np6SeS5 crystal, from the Alexandria database.

Uncorrected formation energy: -1.305 eV per atom
Space-group type: C2/m (12)
Calculated total energy: -117.429 eV/cell

Lattice parameters (Å, degrees): 6.8145 6.8145 6.8142 99.59 99.59 120.06
Last column: nearest neighbours and their distance in Å.
Positions (direct):
Np (0.0720, 0.4144, 0.7434)  5 S 2.74-2.78, 1 Se 2.86
Np (0.2424, 0.2424, 0.2544)  5 S 2.71-2.78, 1 Se 2.85
Np (0.4144, 0.0720, 0.7434)  5 S 2.74-2.78, 1 Se 2.86
Np (0.5856, 0.9280, 0.2566)  5 S 2.74-2.78, 1 Se 2.86
Np (0.7576, 0.7576, 0.7456)  5 S 2.71-2.78, 1 Se 2.85
Np (0.9280, 0.5856, 0.2566)  5 S 2.74-2.78, 1 Se 2.86
Se (0.5000, 0.5000, 0.0000)  6 Np 2.85-2.86
S (0.0000, 0.0000, 0.5000)  6 Np 2.71-2.78
S (0.1672, 0.8328, 0.0000)  6 Np 2.78
S (0.3377, 0.6623, 0.5000)  6 Np 2.74-2.78
S (0.6623, 0.3377, 0.5000)  6 Np 2.74-2.78
S (0.8328, 0.1672, 0.0000)  6 Np 2.78

---

The following is a PBE calculation of a relaxed ThBiPd crystal, from the Alexandria database.

Energy of formation from the pure elements: -0.37 eV per atom
Space-group type: P4/nmm (129)
Calculated total energy: -35.181 eV/cell

Lattice parameters (Å, degrees): 4.6679 4.6679 7.4205 90.00 90.00 90.00
Last column: nearest neighbours and their distance in Å.
Positions (direct):
Th (0.2500, 0.7500, 0.0000)  4 Pd 3.05, 4 Th 3.30
Th (0.7500, 0.2500, 0.0000)  4 Pd 3.05, 4 Th 3.30
Bi (0.2500, 0.2500, 0.3479)  1 Pd 2.87
Bi (0.7500, 0.7500, 0.6521)  1 Pd 2.87
Pd (0.2500, 0.2500, 0.7344)  1 Bi 2.87, 4 Th 3.05
Pd (0.7500, 0.7500, 0.2656)  1 Bi 2.87, 4 Th 3.05

---

The following is a PBE calculation of a relaxed SrSc3Mo crystal, from the Alexandria database.

Energy of formation from the pure elements: 0.28 eV per atom
Space-group type: Pm-3m (221)
Energy above the most stable polymorph in this dataset: 0 meV/atom
Calculated total energy: -30.099 eV/cell

Lattice parameters (Å, degrees): 5.2180 5.2180 5.2180 90.00 90.00 90.00
Last column: nearest neighbours and their distance in Å.
Positions (direct):
Sr (0.0000, 0.0000, 0.0000)  12 Sc 3.69
Sc (0.0000, 0.5000, 0.5000)  2 Mo 2.61
Sc (0.5000, 0.0000, 0.5000)  2 Mo 2.61
Sc (0.5000, 0.5000, 0.0000)  2 Mo 2.61
Mo (0.5000, 0.5000, 0.5000)  6 Sc 2.61

---

The following is a PBE calculation of a relaxed Er4PuCu5 crystal, from the Alexandria database.

Energy of formation from the pure elements: -0.20 eV per atom
Space-group type: P4/mmm (123)
Calculated total energy: -55.080 eV/cell

Lattice parameters (Å, degrees): 3.4046 3.4046 17.5677 90.00 90.00 90.00
Last column: nearest neighbours and their distance in Å.
Positions (direct):
Er (0.0000, 0.0000, 0.0992)  8 Cu 2.97
Er (0.0000, 0.0000, 0.2982)  8 Cu 2.92-2.98
Er (0.0000, 0.0000, 0.7018)  8 Cu 2.92-2.98
Er (0.0000, 0.0000, 0.9008)  8 Cu 2.97
Pu (0.0000, 0.0000, 0.5000)  8 Cu 3.06, 4 Pu 3.40
Cu (0.5000, 0.5000, 0.0000)  8 Er 2.97
Cu (0.5000, 0.5000, 0.1983)  8 Er 2.97-2.98
Cu (0.5000, 0.5000, 0.3923)  4 Er 2.92, 4 Pu 3.06
Cu (0.5000, 0.5000, 0.6077)  4 Er 2.92, 4 Pu 3.06
Cu (0.5000, 0.5000, 0.8017)  8 Er 2.97-2.98

---

The following is a PBE calculation of a relaxed Nd5Lu3H12 crystal, from the Alexandria database.

Space-group type: Ia-3d (230)
Calculated total energy: -343.305 eV/cell

Lattice parameters (Å, degrees): 11.5172 11.5172 11.5172 109.47 109.47 109.47
Last column: nearest neighbours and their distance in Å.
Positions (direct):
Nd (0.0000, 0.0000, 0.0000)  6 H 2.32
Nd (0.0000, 0.0000, 0.5000)  6 H 2.32
Nd (0.0000, 0.5000, 0.0000)  6 H 2.32
Nd (0.0000, 0.5000, 0.5000)  6 H 2.32
Nd (0.1250, 0.7500, 0.8750)  4 H 2.29
Nd (0.1250, 0.8750, 0.2500)  4 H 2.29
Nd (0.2500, 0.1250, 0.8750)  4 H 2.29
Nd (0.2500, 0.6250, 0.3750)  4 H 2.29
Nd (0.3750, 0.2500, 0.6250)  4 H 2.29
Nd (0.3750, 0.6250, 0.7500)  4 H 2.29
Nd (0.5000, 0.0000, 0.0000)  6 H 2.32
Nd (0.5000, 0.0000, 0.5000)  6 H 2.32
Nd (0.5000, 0.5000, 0.0000)  6 H 2.32
Nd (0.5000, 0.5000, 0.5000)  6 H 2.32
Nd (0.6250, 0.3750, 0.2500)  4 H 2.29
Nd (0.6250, 0.7500, 0.3750)  4 H 2.29
Nd (0.7500, 0.3750, 0.6250)  4 H 2.29
Nd (0.7500, 0.8750, 0.1250)  4 H 2.29
Nd (0.8750, 0.1250, 0.7500)  4 H 2.29
Nd (0.8750, 0.2500, 0.1250)  4 H 2.29
Lu (0.1250, 0.2500, 0.3750)  8 H 2.20-2.45
Lu (0.1250, 0.3750, 0.7500)  8 H 2.20-2.45
Lu (0.2500, 0.3750, 0.1250)  8 H 2.20-2.45
Lu (0.2500, 0.8750, 0.6250)  8 H 2.20-2.45
Lu (0.3750, 0.1250, 0.2500)  8 H 2.20-2.45
Lu (0.3750, 0.7500, 0.1250)  8 H 2.20-2.45
Lu (0.6250, 0.2500, 0.8750)  8 H 2.20-2.45
Lu (0.6250, 0.8750, 0.7500)  8 H 2.20-2.45
Lu (0.7500, 0.1250, 0.3750)  8 H 2.20-2.45
Lu (0.7500, 0.6250, 0.8750)  8 H 2.20-2.45
Lu (0.8750, 0.6250, 0.2500)  8 H 2.20-2.45
Lu (0.8750, 0.7500, 0.6250)  8 H 2.20-2.45
H (0.0646, 0.7289, 0.6551)  1 H 2.19, 2 Lu 2.20-2.45, 2 Nd 2.29-2.32
H (0.0646, 0.8357, 0.4095)  1 H 2.19, 2 Lu 2.20-2.45, 2 Nd 2.29-2.32
H (0.0738, 0.2289, 0.1643)  1 H 2.19, 2 Lu 2.20-2.45, 2 Nd 2.29-2.32
H (0.0738, 0.3449, 0.9095)  1 H 2.19, 2 Lu 2.20-2.45, 2 Nd 2.29-2.32
H (0.0905, 0.6643, 0.4354)  1 H 2.19, 2 Lu 2.20-2.45, 2 Nd 2.29-2.32
H (0.0905, 0.9262, 0.6551)  1 H 2.19, 2 Lu 2.20-2.45, 2 Nd 2.29-2.32
H (0.1551, 0.2289, 0.5646)  1 H 2.19, 2 Lu 2.20-2.45, 2 Nd 2.29-2.32
H (0.1551, 0.4262, 0.5905)  1 H 2.19, 2 Lu 2.20-2.45, 2 Nd 2.29-2.32
H (0.1643, 0.0738, 0.2289)  1 H 2.19, 2 Lu 2.20-2.45, 2 Nd 2.29-2.32
H (0.1643, 0.5905, 0.9354)  1 H 2.19, 2 Lu 2.20-2.45, 2 Nd 2.29-2.32
H (0.2289, 0.1643, 0.0738)  1 H 2.19, 2 Lu 2.20-2.45, 2 Nd 2.29-2.32
H (0.2289, 0.5646, 0.1551)  1 H 2.19, 2 Lu 2.20-2.45, 2 Nd 2.29-2.32
H (0.2711, 0.3449, 0.9354)  1 H 2.19, 2 Lu 2.20-2.45, 2 Nd 2.29-2.32
H (0.2711, 0.4262, 0.3357)  1 H 2.19, 2 Lu 2.20-2.45, 2 Nd 2.29-2.32
H (0.3357, 0.2711, 0.4262)  1 H 2.19, 2 Lu 2.20-2.45, 2 Nd 2.29-2.32
H (0.3357, 0.5646, 0.9095)  1 H 2.19, 2 Lu 2.20-2.45, 2 Nd 2.29-2.32
H (0.3449, 0.9095, 0.0738)  1 H 2.19, 2 Lu 2.20-2.45, 2 Nd 2.29-2.32
H (0.3449, 0.9354, 0.2711)  1 H 2.19, 2 Lu 2.20-2.45, 2 Nd 2.29-2.32
H (0.4095, 0.0646, 0.8357)  1 H 2.19, 2 Lu 2.20-2.45, 2 Nd 2.29-2.32
H (0.4095, 0.8449, 0.5738)  1 H 2.19, 2 Lu 2.20-2.45, 2 Nd 2.29-2.32
H (0.4262, 0.3357, 0.2711)  1 H 2.19, 2 Lu 2.20-2.45, 2 Nd 2.29-2.32
H (0.4262, 0.5905, 0.1551)  1 H 2.19, 2 Lu 2.20-2.45, 2 Nd 2.29-2.32
H (0.4354, 0.0905, 0.6643)  1 H 2.19, 2 Lu 2.20-2.45, 2 Nd 2.29-2.32
H (0.4354, 0.8449, 0.7711)  1 H 2.19, 2 Lu 2.20-2.45, 2 Nd 2.29-2.32
H (0.5646, 0.1551, 0.2289)  1 H 2.19, 2 Lu 2.20-2.45, 2 Nd 2.29-2.32
H (0.5646, 0.9095, 0.3357)  1 H 2.19, 2 Lu 2.20-2.45, 2 Nd 2.29-2.32
H (0.5738, 0.4095, 0.8449)  1 H 2.19, 2 Lu 2.20-2.45, 2 Nd 2.29-2.32
H (0.5738, 0.6643, 0.7289)  1 H 2.19, 2 Lu 2.20-2.45, 2 Nd 2.29-2.32
H (0.5905, 0.1551, 0.4262)  1 H 2.19, 2 Lu 2.20-2.45, 2 Nd 2.29-2.32
H (0.5905, 0.9354, 0.1643)  1 H 2.19, 2 Lu 2.20-2.45, 2 Nd 2.29-2.32
H (0.6551, 0.0646, 0.7289)  1 H 2.19, 2 Lu 2.20-2.45, 2 Nd 2.29-2.32
H (0.6551, 0.0905, 0.9262)  1 H 2.19, 2 Lu 2.20-2.45, 2 Nd 2.29-2.32
H (0.6643, 0.4354, 0.0905)  1 H 2.19, 2 Lu 2.20-2.45, 2 Nd 2.29-2.32
H (0.6643, 0.7289, 0.5738)  1 H 2.19, 2 Lu 2.20-2.45, 2 Nd 2.29-2.32
H (0.7289, 0.5738, 0.6643)  1 H 2.19, 2 Lu 2.20-2.45, 2 Nd 2.29-2.32
H (0.7289, 0.6551, 0.0646)  1 H 2.19, 2 Lu 2.20-2.45, 2 Nd 2.29-2.32
H (0.7711, 0.4354, 0.8449)  1 H 2.19, 2 Lu 2.20-2.45, 2 Nd 2.29-2.32
H (0.7711, 0.8357, 0.9262)  1 H 2.19, 2 Lu 2.20-2.45, 2 Nd 2.29-2.32
H (0.8357, 0.4095, 0.0646)  1 H 2.19, 2 Lu 2.20-2.45, 2 Nd 2.29-2.32
H (0.8357, 0.9262, 0.7711)  1 H 2.19, 2 Lu 2.20-2.45, 2 Nd 2.29-2.32
H (0.8449, 0.5738, 0.4095)  1 H 2.19, 2 Lu 2.20-2.45, 2 Nd 2.29-2.32
H (0.8449, 0.7711, 0.4354)  1 H 2.19, 2 Lu 2.20-2.45, 2 Nd 2.29-2.32
H (0.9095, 0.0738, 0.3449)  1 H 2.19, 2 Lu 2.20-2.45, 2 Nd 2.29-2.32
H (0.9095, 0.3357, 0.5646)  1 H 2.19, 2 Lu 2.20-2.45, 2 Nd 2.29-2.32
H (0.9262, 0.6551, 0.0905)  1 H 2.19, 2 Lu 2.20-2.45, 2 Nd 2.29-2.32
H (0.9262, 0.7711, 0.8357)  1 H 2.19, 2 Lu 2.20-2.45, 2 Nd 2.29-2.32
H (0.9354, 0.1643, 0.5905)  1 H 2.19, 2 Lu 2.20-2.45, 2 Nd 2.29-2.32
H (0.9354, 0.2711, 0.3449)  1 H 2.19, 2 Lu 2.20-2.45, 2 Nd 2.29-2.32

---

The following is a PBE calculation of a relaxed SiSb2As crystal, from the Alexandria database.

Uncorrected formation energy: 0.455 eV per atom
Space-group type: Fm-3m (225)
Energy above the most stable polymorph in this dataset: 292 meV/atom
Calculated total energy: -16.498 eV/cell

Lattice parameters (Å, degrees): 5.0062 5.0062 5.0062 60.00 60.00 60.00
Last column: nearest neighbours and their distance in Å.
Positions (direct):
Si (0.0000, 0.0000, 0.0000)  8 Sb 3.07
Sb (0.2500, 0.2500, 0.2500)  4 As 3.07, 4 Si 3.07
Sb (0.7500, 0.7500, 0.7500)  4 As 3.07, 4 Si 3.07
As (0.5000, 0.5000, 0.5000)  8 Sb 3.07

---

Look up the calculated total energy of the second one. -79.069 eV/cell